No. 1
DFT (PBEsol) results for LiMg2Pd2 after structural relaxation.

The space group is P4/mbm (No. 127) and the conventional cell measures 7.508, 7.508 and 2.985 Å, with angles of 90.00, 90.00 and 90.00 degrees. The asymmetric unit holds Li at (0.000, 0.000, 0.000), Mg at (0.156, 0.344, 0.500) and Pd at (0.140, 0.640, 0.000).

The calculation puts the total moment at 0.00 μB/cell. The value obtained for the density of states at the Fermi level is 3.0 states/eV per cell. The energy of formation comes out at -0.508 eV/atom.

***

No. 2
DFT (PBEsol) results for LiMgSbPd after structural relaxation.

The space group is F-43m (No. 216) and the conventional cell measures 6.470, 6.470 and 6.470 Å, with angles of 90.00, 90.00 and 90.00 degrees. The asymmetric unit holds Li at (0.000, 0.000, 0.000), Mg at (0.250, 0.250, 0.250), Sb at (0.250, 0.250, 0.750) and Pd at (0.000, 0.000, 0.500).

Its raw formation energy is -0.598 eV/atom. The calculation puts the total moment at 0.00 μB/cell. The value obtained for the density of states at the Fermi level is 1.9 states/eV per cell.

***

No. 3
DFT (PBEsol) results for LiMgPt2 after structural relaxation.

The space group is Cmmm (No. 65) and the conventional cell measures 5.580, 7.289 and 2.822 Å, with angles of 90.00, 90.00 and 90.00 degrees. The asymmetric unit holds Li at (0.000, 0.000, 0.000), Mg at (0.000, 0.500, 0.000) and Pt at (0.250, 0.250, 0.500).

The calculation puts the total moment at 0.00 μB/cell. The value obtained for the density of states at the Fermi level is 2.7 states/eV per cell. The energy of formation comes out at -0.629 eV/atom.

***

Q: What is the formula in the first record?
A: LiMg2Pd2